No. 1
A plane-wave DFT calculation with PBE was carried out for a relaxed structure of LuHfZnCu.

Cell: 4.761 4.761 4.761 Å, 60.00 60.00 60.00°
Sites, in units of the cell vectors:
Cu  0.750  0.750  0.750
Hf  0.250  0.250  0.250
Lu  0.500  0.500  0.500
Zn  0.000  0.000  0.000

Values from the calculation:
**Total DFT energy (no corrections)**: -4.6021 eV per atom
**SG**: F-43m, No. 216
**Relative energy among the computed polymorphs**: 0 meV/atom
**ΔE_f**: 0.263 eV per atom

=====

No. 2
A plane-wave DFT calculation with PBE was carried out for a relaxed structure of Li2Al2Cd2IrPt.

Cell: 4.456 4.456 6.304 Å, 90.00 90.00 90.00°
Sites, in units of the cell vectors:
Al  0.500  0.000  0.240
Al  0.000  0.500  0.760
Cd  0.000  0.500  0.250
Cd  0.500  0.000  0.750
Ir  0.000  0.000  0.000
Li  0.500  0.500  0.000
Li  0.000  0.000  0.500
Pt  0.500  0.500  0.500

Values from the calculation:
**Total DFT energy (no corrections)**: -3.9694 eV per atom
**SG**: P-4m2, No. 115

=====

| no. | total magnetization (μB/f.u.) |
| --- | --- |
| 1 | 0.002 |
| 2 | 0.002 |